First-principles (PBE-GGA) data for an optimized crystal structure of Ac2ScHgS6, as listed in Alexandria via LeMat-Bulk.

* DOS at the Fermi energy: 13.7 states/eV per cell
* theoretical density: 5.95 g/cm³
* DFT total energy: -0.20082 Ha/atom
* space-group type: No. 14

```
data_Ac2ScHgS6
_chemical_formula_sum 'Ac4 Sc2 Hg2 S12'
_symmetry_space_group_name_H-M 'P 1'
_symmetry_Int_Tables_number 1
_cell_length_a 6.864
_cell_length_b 7.806
_cell_length_c 9.298
_cell_angle_alpha 90.00
_cell_angle_beta 91.32
_cell_angle_gamma 90.00
loop_
_symmetry_equiv_pos_as_xyz
'x,y,z'
loop_
_atom_site_label
_atom_site_fract_x
_atom_site_fract_y
_atom_site_fract_z
S1 0.365 0.957 0.743
S2 0.654 0.299 0.942
S3 0.635 0.043 0.257
Ac1 0.460 0.394 0.250
S4 0.154 0.201 0.442
Sc1 0.500 0.000 0.000
Sc2 0.000 0.500 0.500
Ac2 0.960 0.106 0.750
Hg1 0.000 0.500 0.000
Hg2 0.500 0.000 0.500
S5 0.309 0.663 0.445
S6 0.846 0.799 0.558
S7 0.346 0.701 0.058
Ac3 0.040 0.894 0.250
S8 0.809 0.837 0.945
S9 0.865 0.543 0.243
S10 0.135 0.457 0.757
Ac4 0.540 0.606 0.750
S11 0.191 0.163 0.055
S12 0.691 0.337 0.555
```

---

First-principles (PBE-GGA) data for an optimized crystal structure of CsPdCl5, as listed in Alexandria via LeMat-Bulk.

* DOS at the Fermi energy: 0.8 states/eV per cell
* theoretical density: 2.80 g/cm³
* DFT total energy: -0.10680 Ha/atom
* space-group type: No. 44

```
data_CsPdCl5
_chemical_formula_sum 'Cs1 Pd1 Cl5'
_symmetry_space_group_name_H-M 'P 1'
_symmetry_Int_Tables_number 1
_cell_length_a 7.017
_cell_length_b 6.923
_cell_length_c 6.923
_cell_angle_alpha 82.06
_cell_angle_beta 59.55
_cell_angle_gamma 59.55
loop_
_symmetry_equiv_pos_as_xyz
'x,y,z'
loop_
_atom_site_label
_atom_site_fract_x
_atom_site_fract_y
_atom_site_fract_z
Cl1 0.419 0.670 0.330
Pd1 0.662 0.500 0.500
Cl2 0.371 0.801 0.801
Cl3 0.974 0.199 0.199
Cl4 0.987 0.500 0.500
Cl5 0.419 0.330 0.670
Cs1 0.699 0.000 0.000
```

---

First-principles (PBE-GGA) data for an optimized crystal structure of LiNiB2, as listed in Alexandria via LeMat-Bulk.

* DOS at the Fermi energy: 2.7 states/eV per cell
* theoretical density: 3.54 g/cm³
* DFT total energy: -0.18905 Ha/atom
* formation enthalpy at 0 K: 2.7 kcal/mol of atoms
* excess energy over the best structure of this formula in the dataset: 0.240 eV per atom
* space-group type: No. 141

```
data_LiNiB2
_chemical_formula_sum 'Li2 Ni2 B4'
_symmetry_space_group_name_H-M 'P 1'
_symmetry_Int_Tables_number 1
_cell_length_a 3.353
_cell_length_b 3.353
_cell_length_c 7.667
_cell_angle_alpha 77.37
_cell_angle_beta 77.37
_cell_angle_gamma 90.00
loop_
_symmetry_equiv_pos_as_xyz
'x,y,z'
loop_
_atom_site_label
_atom_site_fract_x
_atom_site_fract_y
_atom_site_fract_z
B1 0.375 0.125 0.750
B2 0.875 0.125 0.750
B3 0.875 0.625 0.250
Li1 0.250 0.750 0.500
B4 0.875 0.125 0.250
Ni1 0.000 0.000 0.000
Li2 0.500 0.500 0.000
Ni2 0.750 0.250 0.500
```

---

First-principles (PBE-GGA) data for an optimized crystal structure of Rb2Er2TeS6, as listed in Alexandria via LeMat-Bulk.

* DOS at the Fermi energy: 0.0 states/eV per cell
* theoretical density: 4.25 g/cm³
* DFT total energy: -0.17990 Ha/atom
* space-group type: No. 12

```
data_Rb2Er2TeS6
_chemical_formula_sum 'Rb2 Er2 Te1 S6'
_symmetry_space_group_name_H-M 'P 1'
_symmetry_Int_Tables_number 1
_cell_length_a 6.871
_cell_length_b 6.871
_cell_length_c 8.210
_cell_angle_alpha 98.06
_cell_angle_beta 98.06
_cell_angle_gamma 119.81
loop_
_symmetry_equiv_pos_as_xyz
'x,y,z'
loop_
_atom_site_label
_atom_site_fract_x
_atom_site_fract_y
_atom_site_fract_z
S1 0.610 0.938 0.314
S2 0.265 0.265 0.314
Rb1 0.167 0.833 0.000
S3 0.735 0.735 0.686
S4 0.390 0.062 0.686
S5 0.062 0.390 0.686
S6 0.938 0.610 0.314
Er1 0.667 0.333 0.500
Er2 0.333 0.667 0.500
Rb2 0.833 0.167 0.000
Te1 0.000 0.000 0.500
```

---

First-principles (PBE-GGA) data for an optimized crystal structure of Ac8AsSe3S4, as listed in Alexandria via LeMat-Bulk.

* DOS at the Fermi energy: 8.2 states/eV per cell
* theoretical density: 7.78 g/cm³
* DFT total energy: -0.21803 Ha/atom
* space-group type: No. 166

```
data_Ac8AsSe3S4
_chemical_formula_sum 'Ac8 As1 Se3 S4'
_symmetry_space_group_name_H-M 'P 1'
_symmetry_Int_Tables_number 1
_cell_length_a 8.781
_cell_length_b 8.815
_cell_length_c 8.781
_cell_angle_alpha 119.87
_cell_angle_beta 120.00
_cell_angle_gamma 90.00
loop_
_symmetry_equiv_pos_as_xyz
'x,y,z'
loop_
_atom_site_label
_atom_site_fract_x
_atom_site_fract_y
_atom_site_fract_z
Ac1 0.244 0.232 0.488
S1 0.500 0.000 0.000
Se1 0.000 0.500 0.500
Ac2 0.759 0.763 0.011
Ac3 0.756 0.768 0.512
S2 0.000 0.000 0.000
Ac4 0.748 0.237 0.989
Ac5 0.252 0.763 0.504
S3 0.000 0.000 0.500
S4 0.500 0.000 0.500
As1 0.000 0.500 0.000
Se2 0.500 0.500 0.000
Ac6 0.241 0.237 0.989
Se3 0.500 0.500 0.500
Ac7 0.748 0.237 0.496
Ac8 0.252 0.763 0.011
```

---

First-principles (PBE-GGA) data for an optimized crystal structure of Sm4P2Br3, as listed in Alexandria via LeMat-Bulk.

* DOS at the Fermi energy: 3.3 states/eV per cell
* theoretical density: 5.73 g/cm³
* DFT total energy: -0.20214 Ha/atom
* space-group type: No. 12

```
data_Sm4P2Br3
_chemical_formula_sum 'Sm4 P2 Br3'
_symmetry_space_group_name_H-M 'P 1'
_symmetry_Int_Tables_number 1
_cell_length_a 4.109
_cell_length_b 4.109
_cell_length_c 17.905
_cell_angle_alpha 90.04
_cell_angle_beta 89.96
_cell_angle_gamma 120.00
loop_
_symmetry_equiv_pos_as_xyz
'x,y,z'
loop_
_atom_site_label
_atom_site_fract_x
_atom_site_fract_y
_atom_site_fract_z
Br1 0.334 0.666 0.608
Sm1 0.334 0.666 0.879
P1 0.333 0.667 0.202
Sm2 0.666 0.334 0.121
Sm3 0.001 0.999 0.712
Br2 0.000 0.000 0.000
Br3 0.666 0.334 0.392
P2 0.667 0.333 0.798
Sm4 0.999 0.001 0.288
```

---

First-principles (PBE-GGA) data for an optimized crystal structure of AcLa2PrS4, as listed in Alexandria via LeMat-Bulk.

* DOS at the Fermi energy: 4.9 states/eV per cell
* theoretical density: 6.21 g/cm³
* DFT total energy: -0.23865 Ha/atom
* space-group type: No. 10

```
data_AcLa2PrS4
_chemical_formula_sum 'Ac1 La2 Pr1 S4'
_symmetry_space_group_name_H-M 'P 1'
_symmetry_Int_Tables_number 1
_cell_length_a 4.167
_cell_length_b 7.253
_cell_length_c 7.262
_cell_angle_alpha 70.66
_cell_angle_beta 90.00
_cell_angle_gamma 90.00
loop_
_symmetry_equiv_pos_as_xyz
'x,y,z'
loop_
_atom_site_label
_atom_site_fract_x
_atom_site_fract_y
_atom_site_fract_z
S1 0.500 0.248 0.745
S2 0.000 0.756 0.742
La1 0.500 0.000 0.500
S3 0.000 0.244 0.258
Pr1 0.000 0.500 0.500
S4 0.500 0.752 0.255
La2 0.000 0.000 0.000
Ac1 0.500 0.500 0.000
```

---

First-principles (PBE-GGA) data for an optimized crystal structure of SmZrPt2, as listed in Alexandria via LeMat-Bulk.

* DOS at the Fermi energy: 2.9 states/eV per cell
* theoretical density: 11.34 g/cm³
* DFT total energy: -0.26719 Ha/atom
* formation enthalpy at 0 K: -21.5 kcal/mol of atoms
* space-group type: No. 166

```
data_SmZrPt2
_chemical_formula_sum 'Sm1 Zr1 Pt2'
_symmetry_space_group_name_H-M 'P 1'
_symmetry_Int_Tables_number 1
_cell_length_a 4.072
_cell_length_b 4.072
_cell_length_c 6.861
_cell_angle_alpha 72.74
_cell_angle_beta 72.74
_cell_angle_gamma 60.00
loop_
_symmetry_equiv_pos_as_xyz
'x,y,z'
loop_
_atom_site_label
_atom_site_fract_x
_atom_site_fract_y
_atom_site_fract_z
Pt1 0.739 0.739 0.784
Sm1 0.500 0.500 0.500
Pt2 0.261 0.261 0.216
Zr1 0.000 0.000 0.000
```